Record 1
Entry from Alexandria: a geometry-optimized LaPr2Ga2Cu2 structure (PBE).

Lattice parameters (Å, degrees): 4.500 4.500 9.945 76.92 76.92 60.00
Positions (direct):
La: 0.000 0.000 0.000
Pr: 0.125 0.125 0.626
Pr: 0.875 0.875 0.374
Ga: 0.737 0.737 0.788
Ga: 0.263 0.263 0.212
Cu: 0.600 0.600 0.200
Cu: 0.400 0.400 0.800

Output
Total moment, μB/cell: 0.0
Uncorrected energy, eV for the cell shown: -31.36
Energy of formation, eV/atom: -0.38



Record 2
Entry from Alexandria: a geometry-optimized YAgAs2 structure (PBE).

Lattice parameters (Å, degrees): 4.928 4.928 4.928 60.00 60.00 60.00
Positions (direct):
Y: 0.750 0.750 0.750
As: 0.000 0.000 0.000
As: 0.250 0.250 0.250
Ag: 0.500 0.500 0.500

Output
Total moment, μB/cell: 0.0
Uncorrected energy, eV for the cell shown: -19.55
Energy of formation, eV/atom: -0.23



Record 3
Entry from Alexandria: a geometry-optimized Pm5ZrPb6 structure (PBE).

Lattice parameters (Å, degrees): 8.507 6.317 8.479 68.13 79.12 59.56
Positions (direct):
Pm: 0.500 0.178 0.644
Pm: 0.000 0.341 0.318
Pm: 0.500 0.500 0.000
Pm: 0.000 0.659 0.682
Pm: 0.500 0.822 0.356
Zr: 0.000 0.000 0.000
Pb: 0.768 0.064 0.323
Pb: 0.232 0.613 0.323
Pb: 0.263 0.214 0.000
Pb: 0.737 0.786 0.000
Pb: 0.768 0.387 0.677
Pb: 0.232 0.936 0.677

Output
Total moment, μB/cell: 0.0
Uncorrected energy, eV for the cell shown: -59.40
Energy of formation, eV/atom: -0.40



Record 4
Entry from Alexandria: a geometry-optimized Sc8InAg2 structure (PBE).

Lattice parameters (Å, degrees): 4.991 7.941 7.941 118.42 100.52 100.52
Last column: magnetic moment on the atom in μB.
Positions (direct):
Sc: 0.890 0.903 0.677  0.10
Sc: 0.890 0.677 0.903  0.10
Sc: 0.300 0.598 0.598  0.06
Sc: 0.500 0.776 0.224  0.06
Sc: 0.500 0.224 0.776  0.06
Sc: 0.700 0.402 0.402  0.06
Sc: 0.110 0.323 0.097  0.10
Sc: 0.110 0.097 0.323  0.10
In: 0.500 0.000 0.000  -0.01
Ag: 0.000 0.304 0.696  0.01
Ag: 0.000 0.696 0.304  0.01

Output
Total moment, μB/cell: 1.0
Uncorrected energy, eV for the cell shown: -59.82
Energy of formation, eV/atom: -0.07



Question: Which of these has the highest total moment?
Answer: Sc8InAg2



Question: What is the formula in the fourth record?
Answer: Sc8InAg2



Question: What is the uncorrected energy in the third record?
Answer: -59.40 eV for the cell shown